Record 1
Density functional theory data (PBE) for a relaxed LiTiGaP2 crystal. Values from VASP.

## Properties
The value obtained for the electronic total energy is -4.281 eV/atom. Its space group is P4/mmm, No. 123. The formation energy comes out at 0.45 eV per atom. For the density of states at the Fermi level, the calculation gives 4.4 states/eV/f.u. As for the crystal system: tetragonal.

Geometry as Quantum ESPRESSO input:
```
&SYSTEM
  ibrav = 0, nat = 5, ntyp = 4
/
ATOMIC_SPECIES
P 30.97 P.upf
Li 6.94 Li.upf
Ga 69.72 Ga.upf
Ti 47.87 Ti.upf
CELL_PARAMETERS angstrom
-0.783 -2.520 3.538
1.176 -3.433 -2.185
4.167 0.579 1.334
ATOMIC_POSITIONS angstrom
P 2.083 0.289 0.667
P -0.391 -1.260 1.769
Li 0.000 0.000 0.000
Ga 0.588 -1.717 -1.093
Ti 2.280 -2.687 1.343
```

Record 2
Density functional theory data (PBE) for a relaxed Cs2FeICl6 crystal. Values from VASP.

## Properties
The value obtained for the electronic total energy is -3.382 eV/atom. Its space group is I4/mmm, No. 139. For the density of states at the Fermi level, the calculation gives 4.3 states/eV/f.u. As for the crystal system: tetragonal. The value obtained for the uncorrected formation energy is -1.102 eV/atom.

Geometry as Quantum ESPRESSO input:
```
&SYSTEM
  ibrav = 0, nat = 10, ntyp = 4
/
ATOMIC_SPECIES
Cl 35.45 Cl.upf
Cs 132.91 Cs.upf
I 126.90 I.upf
Fe 55.84 Fe.upf
CELL_PARAMETERS angstrom
-1.334 -4.623 -6.487
-2.676 -5.935 4.780
-6.981 -3.330 -1.220
ATOMIC_POSITIONS angstrom
Cl -4.555 -4.280 -1.041
Cl -6.436 -9.608 -1.886
Cl -2.791 -7.348 -1.188
Cl -1.220 -3.211 -0.519
Cl -2.268 -5.536 1.354
Cl -1.742 -5.022 -3.061
Cs -5.831 -7.272 1.353
Cs -5.160 -6.616 -4.280
I 0.000 0.000 0.000
Fe -2.005 -5.279 -0.854
```

Record 3
Density functional theory data (PBE) for a relaxed Ta2ZnAs crystal. Values from VASP.

## Properties
The value obtained for the electronic total energy is -7.250 eV/atom. Its space group is R3m, No. 160. The formation energy comes out at 0.16 eV per atom. For the density of states at the Fermi level, the calculation gives 5.4 states/eV/f.u. As for the crystal system: trigonal. The energy above the most stable polymorph in this dataset comes out at 211.6 meV/atom.

Geometry as Quantum ESPRESSO input:
```
&SYSTEM
  ibrav = 0, nat = 4, ntyp = 3
/
ATOMIC_SPECIES
Zn 65.41 Zn.upf
As 74.92 As.upf
Ta 180.95 Ta.upf
CELL_PARAMETERS angstrom
-2.812 -8.626 2.655
-1.374 -9.352 0.147
0.136 -9.059 2.700
ATOMIC_POSITIONS angstrom
Zn -2.026 -13.531 2.753
As -3.030 -20.231 4.117
Ta -1.003 -6.695 1.362
Ta -0.015 -0.098 0.020
```

Record 4
Density functional theory data (PBE) for a relaxed La4PrSn2 crystal. Values from VASP.

## Properties
The value obtained for the electronic total energy is -5.089 eV/atom. Its space group is P2_1/m, No. 11. The formation energy comes out at -0.45 eV per atom. For the density of states at the Fermi level, the calculation gives 8.8 states/eV/f.u. As for the crystal system: monoclinic. The energy above the most stable polymorph in this dataset comes out at 6.5 meV/atom.

Geometry as Quantum ESPRESSO input:
```
&SYSTEM
  ibrav = 0, nat = 14, ntyp = 3
/
ATOMIC_SPECIES
Sn 118.71 Sn.upf
Pr 140.91 Pr.upf
La 138.91 La.upf
CELL_PARAMETERS angstrom
-1.068 7.208 -4.265
-6.509 -1.456 -0.830
-1.219 0.104 9.381
ATOMIC_POSITIONS angstrom
Sn -2.934 1.083 7.502
Sn -6.317 3.753 2.136
Sn -2.480 2.103 2.150
Sn -5.863 4.773 -3.216
Pr -5.584 0.734 1.685
Pr -3.212 5.122 2.600
La -4.758 2.687 4.966
La -7.913 1.982 4.564
La -0.884 3.874 -0.278
La -2.744 6.355 -3.236
La -2.287 -0.043 4.402
La -6.510 5.899 -0.116
La -4.039 3.168 -0.681
La -6.053 -0.500 7.522
```

Record 5
Density functional theory data (PBE) for a relaxed BaTc3As3 crystal. Values from VASP.

## Properties
The value obtained for the electronic total energy is -7.234 eV/atom. Its space group is P6_3/m, No. 176. The formation energy comes out at -0.52 eV per atom. For the density of states at the Fermi level, the calculation gives 5.7 states/eV/f.u. As for the crystal system: hexagonal.

Geometry as Quantum ESPRESSO input:
```
&SYSTEM
  ibrav = 0, nat = 14, ntyp = 3
/
ATOMIC_SPECIES
Tc 98.00 Tc.upf
As 74.92 As.upf
Ba 137.33 Ba.upf
CELL_PARAMETERS angstrom
-2.469 2.790 2.425
-3.585 3.372 -7.531
-3.894 -7.002 4.093
ATOMIC_POSITIONS angstrom
Tc -8.067 -1.120 -0.813
Tc -7.223 -1.739 -3.317
Tc -3.812 3.293 -5.634
Tc -1.881 0.281 -0.201
Tc -6.136 -4.132 4.620
Tc -2.725 0.899 2.302
As -2.274 -1.578 1.539
As -5.686 -2.128 -1.304
As -4.683 3.993 -3.251
As -4.262 1.288 0.290
As -5.265 -4.832 2.237
As -7.675 0.739 -2.553
Ba -5.643 -1.451 2.036
Ba -4.305 0.612 -3.051
```

Record 6
Density functional theory data (PBE) for a relaxed ErTmThMg crystal. Values from VASP.

## Properties
The value obtained for the electronic total energy is -4.418 eV/atom. Its space group is F-43m, No. 216. The formation energy comes out at 0.09 eV per atom. For the density of states at the Fermi level, the calculation gives 6.9 states/eV/f.u. As for the crystal system: cubic. The energy above the most stable polymorph in this dataset comes out at 130.5 meV/atom.

Geometry as Quantum ESPRESSO input:
```
&SYSTEM
  ibrav = 0, nat = 4, ntyp = 4
/
ATOMIC_SPECIES
Tm 168.93 Tm.upf
Mg 24.30 Mg.upf
Th 232.04 Th.upf
Er 167.26 Er.upf
CELL_PARAMETERS angstrom
-1.615 5.238 0.233
-4.944 1.433 -1.898
-3.953 1.499 3.497
ATOMIC_POSITIONS angstrom
Tm -5.256 4.085 0.916
Mg 0.000 0.000 0.000
Th -7.884 6.128 1.374
Er -2.628 2.043 0.458
```

Record 7
Density functional theory data (PBE) for a relaxed Zn2Fe2Bi crystal. Values from VASP.

## Properties
The value obtained for the electronic total energy is -4.233 eV/atom. Its space group is P4/mbm, No. 127. The formation energy comes out at 0.44 eV per atom. For the density of states at the Fermi level, the calculation gives 6.9 states/eV/f.u. As for the crystal system: tetragonal. The energy above the most stable polymorph in this dataset comes out at 111.0 meV/atom.

Geometry as Quantum ESPRESSO input:
```
&SYSTEM
  ibrav = 0, nat = 10, ntyp = 3
/
ATOMIC_SPECIES
Zn 65.41 Zn.upf
Fe 55.84 Fe.upf
Bi 208.98 Bi.upf
CELL_PARAMETERS angstrom
-1.668 -7.255 -1.013
0.498 -1.149 7.408
-2.871 0.620 0.289
ATOMIC_POSITIONS angstrom
Zn -1.157 -7.091 3.708
Zn -0.194 -3.761 6.128
Zn -0.975 -4.643 0.266
Zn -0.013 -1.312 2.686
Fe -2.140 -5.506 5.612
Fe -1.901 -2.278 1.072
Fe -2.655 -6.089 1.747
Fe -1.386 -1.695 4.937
Bi -0.585 -4.202 3.197
Bi 0.000 0.000 0.000
```

Record 8
Density functional theory data (PBE) for a relaxed Sr2Os crystal. Values from VASP.

## Properties
The value obtained for the electronic total energy is -4.042 eV/atom. Its space group is Cmcm, No. 63. The formation energy comes out at 0.82 eV per atom. For the density of states at the Fermi level, the calculation gives 2.3 states/eV/f.u. As for the crystal system: orthorhombic.

Geometry as Quantum ESPRESSO input:
```
&SYSTEM
  ibrav = 0, nat = 6, ntyp = 2
/
ATOMIC_SPECIES
Sr 87.62 Sr.upf
Os 190.23 Os.upf
CELL_PARAMETERS angstrom
1.939 -7.908 0.000
1.939 7.908 0.000
0.000 0.000 5.533
ATOMIC_POSITIONS angstrom
Sr 1.939 7.002 1.383
Sr 1.939 -3.970 1.383
Sr 1.939 -7.002 4.150
Sr 1.939 3.970 4.150
Os 1.939 1.693 1.383
Os 1.939 -1.693 4.150
```

Record 9
Density functional theory data (PBE) for a relaxed PaMnCoSi2 crystal. Values from VASP.

## Properties
The value obtained for the electronic total energy is -7.992 eV/atom. Its space group is I-4m2, No. 119. For the density of states at the Fermi level, the calculation gives 4.3 states/eV/f.u. As for the crystal system: tetragonal. The value obtained for the uncorrected formation energy is -0.668 eV/atom.

Geometry as Quantum ESPRESSO input:
```
&SYSTEM
  ibrav = 0, nat = 5, ntyp = 4
/
ATOMIC_SPECIES
Si 28.09 Si.upf
Pa 231.04 Pa.upf
Co 58.93 Co.upf
Mn 54.94 Mn.upf
CELL_PARAMETERS angstrom
3.996 0.000 0.000
0.000 3.996 0.000
-1.998 -1.998 4.688
ATOMIC_POSITIONS angstrom
Si 0.000 0.000 3.460
Si 1.998 1.998 1.228
Pa 0.000 0.000 0.000
Co 1.998 0.000 2.344
Mn 0.000 1.998 2.344
```

Record 10
Density functional theory data (PBE) for a relaxed CdGaRu2 crystal. Values from VASP.

## Properties
The value obtained for the electronic total energy is -5.107 eV/atom. Its space group is I-42d, No. 122. The formation energy comes out at 0.52 eV per atom. For the density of states at the Fermi level, the calculation gives 4.0 states/eV/f.u. As for the crystal system: tetragonal.

Geometry as Quantum ESPRESSO input:
```
&SYSTEM
  ibrav = 0, nat = 8, ntyp = 3
/
ATOMIC_SPECIES
Ru 101.07 Ru.upf
Ga 69.72 Ga.upf
Cd 112.41 Cd.upf
CELL_PARAMETERS angstrom
-0.782 7.109 -0.365
-4.475 -0.205 5.587
-0.561 3.765 4.278
ATOMIC_POSITIONS angstrom
Ru -3.065 1.982 4.501
Ru -1.157 5.078 1.554
Ru -2.568 5.404 5.387
Ru -4.843 8.872 7.557
Ga -3.832 3.506 6.238
Ga -2.628 3.452 2.611
Cd 0.000 0.000 0.000
Cd -1.985 7.163 3.262
```

Record 11
Density functional theory data (PBE) for a relaxed La6Ir2RuCl2 crystal. Values from VASP.

## Properties
The value obtained for the electronic total energy is -6.491 eV/atom. Its space group is C2/m, No. 12. For the density of states at the Fermi level, the calculation gives 6.2 states/eV/f.u. As for the crystal system: monoclinic. The value obtained for the uncorrected formation energy is -1.013 eV/atom.

Geometry as Quantum ESPRESSO input:
```
&SYSTEM
  ibrav = 0, nat = 11, ntyp = 4
/
ATOMIC_SPECIES
La 138.91 La.upf
Cl 35.45 Cl.upf
Ru 101.07 Ru.upf
Ir 192.22 Ir.upf
CELL_PARAMETERS angstrom
-3.093 6.561 0.718
-3.586 -5.400 -3.332
-0.694 -2.463 7.359
ATOMIC_POSITIONS angstrom
La -5.443 -0.878 3.255
La -2.127 -3.451 3.929
La -5.409 -1.808 -0.524
La -1.930 -0.425 1.489
La -1.964 0.506 5.268
La -5.246 2.149 0.816
Cl -3.505 -3.430 -2.665
Cl -3.174 4.590 0.050
Ru -0.347 -1.231 3.679
Ir -3.603 1.370 3.057
Ir -3.770 -2.672 1.688
```

Record 12
Density functional theory data (PBE) for a relaxed BaPtCl crystal. Values from VASP.

## Properties
The value obtained for the electronic total energy is -4.055 eV/atom. Its space group is P-6m2, No. 187. For the density of states at the Fermi level, the calculation gives 3.0 states/eV/f.u. As for the crystal system: hexagonal. The value obtained for the uncorrected formation energy is -0.785 eV/atom. The energy above the most stable polymorph in this dataset comes out at 1.1 meV/atom.

Geometry as Quantum ESPRESSO input:
```
&SYSTEM
  ibrav = 0, nat = 3, ntyp = 3
/
ATOMIC_SPECIES
Ba 137.33 Ba.upf
Pt 195.08 Pt.upf
Cl 35.45 Cl.upf
CELL_PARAMETERS angstrom
4.788 0.000 0.000
-2.394 4.147 0.000
0.000 0.000 4.055
ATOMIC_POSITIONS angstrom
Ba 0.000 0.000 0.000
Pt 0.000 2.764 2.026
Cl 2.394 1.382 2.028
```

- What is the formula in the tenth record?
  CdGaRu2